Ce3Ge13Ru4: relaxed, PBE.

The energy relative to the elements comes out at -9.2 eV/f.u.

The structure belongs to space group Pm-3n (No. 223); the cell edges are 9.079, 9.079 and 9.079 Å and the angles 90.00°, 90.00° and 90.00°. The inequivalent atoms are Ce at (0.000, 0.250, 0.500), Ge at (0.000, 0.000, 0.000), Ge at (0.000, 0.306, 0.149) and Ru at (0.250, 0.250, 0.250).

CeScGe2Ru: relaxed, PBE.

The energy relative to the elements comes out at -3.6 eV/f.u.

The structure belongs to space group I-4m2 (No. 119); the cell edges are 4.099, 4.099 and 11.698 Å and the angles 90.00°, 90.00° and 90.00°. The inequivalent atoms are Ce at (0.000, 0.000, 0.000), Sc at (0.000, 0.500, 0.250), Ge at (0.000, 0.000, 0.393) and Ru at (0.000, 0.500, 0.750).

CeSiGe2Ru2: relaxed, PBE.

As for the uncorrected formation energy: -26.8 kJ per mole of atoms.

The structure belongs to space group P4/mmm (No. 123); the cell edges are 4.452, 4.452 and 5.628 Å and the angles 90.00°, 90.00° and 90.00°. The inequivalent atoms are Ce at (0.000, 0.000, 0.000), Si at (0.000, 0.000, 0.500), Ge at (0.500, 0.500, 0.226) and Ru at (0.000, 0.500, 0.500).

CeSmGeRu: relaxed, PBE.

The energy relative to the elements comes out at -1.2 eV/f.u.

The structure belongs to space group P4/nmm (No. 129, origin choice 2); the cell edges are 4.559, 4.559 and 9.915 Å and the angles 90.00°, 90.00° and 90.00°. The inequivalent atoms are Ce at (0.250, 0.750, 0.000), Sm at (0.250, 0.250, 0.336), Ge at (0.250, 0.250, 0.623) and Ru at (0.250, 0.250, 0.866).

Ce2SnGeRu: relaxed, PBE.

The energy relative to the elements comes out at -2.5 eV/f.u.

The structure belongs to space group P2_1/m (No. 11); the cell edges are 7.312, 4.153 and 8.725 Å and the angles 90.00°, 112.59° and 90.00°. The inequivalent atoms are Ce at (0.141, 0.250, 0.349), Ce at (0.324, 0.750, 0.037), Sn at (0.403, 0.750, 0.655), Ge at (0.201, 0.250, 0.728) and Ru at (0.004, 0.250, 0.907).

CeTcGe2Ru: relaxed, PBE.

The energy relative to the elements comes out at -2.6 eV/f.u.

The structure belongs to space group I-4m2 (No. 119); the cell edges are 4.322, 4.322 and 9.958 Å and the angles 90.00°, 90.00° and 90.00°. The inequivalent atoms are Ce at (0.000, 0.000, 0.000), Tc at (0.000, 0.500, 0.250), Ge at (0.000, 0.000, 0.369) and Ru at (0.000, 0.500, 0.750).

Ce2TcGe6Ru: relaxed, PBE.

The energy relative to the elements comes out at -3.8 eV/f.u.

The structure belongs to space group R-3m (No. 166, hexagonal axes); the cell edges are 6.1147, 6.1147 and 37.8692 Å and the angles 90.00°, 90.00° and 120.00°. The inequivalent atoms are Ce at (0.0000, 0.0000, 0.1308), Ce at (0.0000, 0.0000, 0.2936), Tc at (0.0000, 0.0000, 0.0000), Tc at (0.0000, 0.0000, 0.5000), Ge at (0.0543, 0.5272, 0.2965), Ge at (0.0547, 0.5274, 0.8736) and Ru at (0.0000, 0.0000, 0.4247).

Ce2Th2Ge4Ru: relaxed, PBE.

The energy relative to the elements comes out at -4.2 eV/f.u.

The structure belongs to space group I4/mmm (No. 139); the cell edges are 7.318, 7.318 and 7.901 Å and the angles 90.00°, 90.00° and 90.00°. The inequivalent atoms are Ce at (0.000, 0.000, 0.183), Th at (0.000, 0.500, 0.250), Ge at (0.244, 0.244, 0.500) and Ru at (0.000, 0.000, 0.500).

CeVGe2Ru: relaxed, PBE.

The energy relative to the elements comes out at -2.6 eV/f.u.

The structure belongs to space group I-4m2 (No. 119); the cell edges are 4.101, 4.101 and 10.860 Å and the angles 90.00°, 90.00° and 90.00°. The inequivalent atoms are Ce at (0.000, 0.000, 0.000), V at (0.000, 0.500, 0.250), Ge at (0.000, 0.000, 0.382) and Ru at (0.000, 0.500, 0.750).

CeYGeRu: relaxed, PBE.

The energy relative to the elements comes out at -1.6 eV/f.u.

The structure belongs to space group F-43m (No. 216); the cell edges are 7.047, 7.047 and 7.047 Å and the angles 90.00°, 90.00° and 90.00°. The inequivalent atoms are Ce at (0.000, 0.000, 0.000), Y at (0.000, 0.000, 0.500), Ge at (0.250, 0.250, 0.250) and Ru at (0.250, 0.250, 0.750).

Ce2Zn2Ge4Ru: relaxed, PBE.

The energy relative to the elements comes out at -4.5 eV/f.u.

The structure belongs to space group I4/mmm (No. 139); the cell edges are 6.255, 6.255 and 8.771 Å and the angles 90.00°, 90.00° and 90.00°. The inequivalent atoms are Ce at (0.000, 0.500, 0.250), Zn at (0.000, 0.000, 0.211), Ge at (0.220, 0.220, 0.000) and Ru at (0.000, 0.000, 0.500).

CeZnGe2Ru: relaxed, PBE.

The energy relative to the elements comes out at -2.3 eV/f.u.

The structure belongs to space group Pmma (No. 51); the cell edges are 5.788, 5.556 and 5.822 Å and the angles 90.00°, 90.00° and 90.00°. The inequivalent atoms are Ce at (0.250, 0.000, 0.217), Zn at (0.250, 0.500, 0.379), Ge at (0.250, 0.236, 0.740) and Ru at (0.000, 0.500, 0.000).

Ce3ZnGe6Ru2: relaxed, PBE.

The energy relative to the elements comes out at -2.8 eV/f.u.

The structure belongs to space group P-3m1 (No. 164); the cell edges are 6.2500, 6.2500 and 7.3087 Å and the angles 90.00°, 90.00° and 120.00°. The inequivalent atoms are Ce at (0.0000, 0.0000, 0.0000), Ce at (0.3333, 0.6667, 0.6825), Zn at (0.0000, 0.0000, 0.5000), Ge at (0.1946, 0.3893, 0.2875) and Ru at (0.3333, 0.6667, 0.9955).

CeGeS3: relaxed, PBE.

Its energy above the most stable polymorph in this dataset is 0.010 eV/atom. As for the uncorrected formation energy: -106.6 kJ per mole of atoms.

The structure belongs to space group P2_1/c (No. 14); the cell edges are 6.767, 7.598 and 11.176 Å and the angles 90.00°, 124.58° and 90.00°. The inequivalent atoms are Ce at (0.217, 0.126, 0.255), Ge at (0.153, 0.605, 0.073), S at (0.070, 0.176, 0.928), S at (0.292, 0.689, 0.942) and S at (0.429, 0.025, 0.780).

Ce2Ge2S7: relaxed, PBE.

As for the uncorrected formation energy: -91.6 kJ per mole of atoms.

The structure belongs to space group C2/m (No. 12); the cell edges are 9.177, 10.769 and 6.105 Å and the angles 90.00°, 100.89° and 90.00°. The inequivalent atoms are Ce at (0.000, 0.206, 0.000), Ge at (0.233, 0.500, 0.420), S at (0.000, 0.500, 0.500), S at (0.094, 0.000, 0.259) and S at (0.244, 0.175, 0.776).

Ce2GeS: relaxed, PBE.

Its energy above the most stable polymorph in this dataset is 0.156 eV/atom. As for the uncorrected formation energy: -117.4 kJ per mole of atoms.

The structure belongs to space group R3m (No. 160, hexagonal axes); the cell edges are 4.0690, 4.0690 and 21.6758 Å and the angles 90.00°, 90.00° and 120.00°. The inequivalent atoms are Ce at (0.0000, 0.0000, 0.0000), Ce at (0.0000, 0.0000, 0.1698), Ge at (0.0000, 0.0000, 0.5862) and S at (0.0000, 0.0000, 0.4158).

Ce2GeS: relaxed, PBE.

Its energy above the most stable polymorph in this dataset is 0.004 eV/atom. As for the uncorrected formation energy: -132.0 kJ per mole of atoms.

The structure belongs to space group R-3m (No. 166, hexagonal axes); the cell edges are 4.1530, 4.1530 and 20.1261 Å and the angles 90.00°, 90.00° and 120.00°. The inequivalent atoms are Ce at (0.0000, 0.0000, 0.2470), Ge at (0.0000, 0.0000, 0.0000) and S at (0.0000, 0.0000, 0.5000).

Ce3GeS6: relaxed, PBE.

As for the uncorrected formation energy: -154.6 kJ per mole of atoms.

The structure belongs to space group Cmc2_1 (No. 36); the cell edges are 10.783, 13.364 and 7.006 Å and the angles 90.00°, 90.00° and 90.00°. The inequivalent atoms are Ce at (0.000, 0.105, 0.000), Ce at (0.185, 0.396, 0.916), Ge at (0.000, 0.323, 0.366), S at (0.000, 0.273, 0.776), S at (0.000, 0.480, 0.167), S at (0.162, 0.025, 0.708) and S at (0.165, 0.238, 0.197).

Ce2GeS: relaxed, PBE.

Its energy above the most stable polymorph in this dataset is 0.000 eV/atom. As for the uncorrected formation energy: -132.4 kJ per mole of atoms.

The structure belongs to space group Pmmn (No. 59, origin choice 2); the cell edges are 4.149, 5.850 and 8.269 Å and the angles 90.00°, 90.00° and 90.00°. The inequivalent atoms are Ce at (0.250, 0.250, 0.118), Ce at (0.250, 0.250, 0.633), Ge at (0.250, 0.750, 0.626) and S at (0.250, 0.750, 0.124).

CeGe2S6: relaxed, PBE.

As for the uncorrected formation energy: -66.5 kJ per mole of atoms.

The structure belongs to space group C2/c (No. 15); the cell edges are 12.842, 11.305 and 6.651 Å and the angles 90.00°, 107.12° and 90.00°. The inequivalent atoms are Ce at (0.000, 0.133, 0.250), Ge at (0.201, 0.425, 0.252), S at (0.116, 0.069, 0.657), S at (0.130, 0.426, 0.525) and S at (0.141, 0.253, 0.105).